(1)
DyLuMgIn: relaxed, PBE-GGA.

Summary:
Total energy (eV/cell): -14.6
Calculated volume (Å³/f.u.): 103.0
SG: F-43m (216)
Energy relative to the elements (eV/atom): -0.292

abc: 5.2623 5.2623 5.2623
angles: 60.00 60.00 60.00
Positions (direct):
1 Lu 0.2500 0.2500 0.2500
2 Mg 0.5000 0.5000 0.5000
3 Dy 0.7500 0.7500 0.7500
4 In 0.0000 0.0000 0.0000

***

(2)
ScFeSbTe2: relaxed, PBE-GGA.

Summary:
Total energy (eV/cell): -24.2
Calculated volume (Å³/f.u.): 128.5
SG: P4/mmm (123)
ΔE_f (raw) (eV/f.u.): 0.95
Offset from the most stable computed form (kJ/mol of atoms): 0.0

abc: 5.2476 5.2476 4.6674
angles: 90.00 90.00 90.00
Positions (direct):
1 Sc 0.5000 0.5000 0.5000
2 Sb 0.0000 0.0000 0.5000
3 Te 0.0000 0.5000 0.0000
4 Fe 0.0000 0.0000 0.0000
5 Te 0.5000 0.0000 0.0000

***

(3)
Y3Ni: relaxed, PBE-GGA.

Summary:
Total energy (eV/cell): -48.8
Calculated volume (Å³/f.u.): 102.4
SG: Pm-3n (223)
Energy relative to the elements (eV/atom): 0.189

abc: 5.8941 5.8941 5.8941
angles: 90.00 90.00 90.00
Positions (direct):
1 Ni 0.0000 0.0000 0.0000
2 Y 0.7500 0.5000 0.0000
3 Y 0.5000 0.0000 0.7500
4 Y 0.2500 0.5000 0.0000
5 Y 0.5000 0.0000 0.2500
6 Y 0.0000 0.2500 0.5000
7 Ni 0.5000 0.5000 0.5000
8 Y 0.0000 0.7500 0.5000

***

(4)
Sc2Co2W: relaxed, PBE-GGA.

Summary:
Total energy (eV/cell): -76.9
Calculated volume (Å³/f.u.): 76.8
SG: P4/mbm (127)
Energy relative to the elements (eV/atom): 0.273
Offset from the most stable computed form (kJ/mol of atoms): 37.1

abc: 7.3935 7.3935 2.8096
angles: 90.00 90.00 90.00
Last column: magnetic moment on the atom in μB.
Positions (direct):
1 Sc 0.3591 0.8591 0.0000  0.03
2 W 0.0000 0.0000 0.0000  0.53
3 Co 0.1655 0.6655 0.5000  0.15
4 W 0.5000 0.5000 0.0000  0.53
5 Sc 0.6409 0.1409 0.0000  0.03
6 Co 0.8345 0.3345 0.5000  0.15
7 Co 0.6655 0.8345 0.5000  0.14
8 Sc 0.8591 0.6409 0.0000  0.04
9 Co 0.3345 0.1655 0.5000  0.14
10 Sc 0.1409 0.3591 0.0000  0.04

***

(5)
Nd3DyEr6: relaxed, PBE-GGA.

Summary:
Total energy (eV/cell): -89.6
Calculated volume (Å³/f.u.): 325.2
SG: Cmc2_1 (36)
Energy relative to the elements (eV/atom): 0.151

abc: 6.2853 10.9102 10.9102
angles: 119.61 90.00 90.00
Positions (direct):
1 Er 0.3852 0.9582 0.0418
2 Nd 0.4622 0.9377 0.7134
3 Nd 0.9622 0.7134 0.9377
4 Er 0.1458 0.7255 0.2745
5 Nd 0.4622 0.2866 0.0623
6 Er 0.5429 0.2877 0.3808
7 Er 0.8852 0.0418 0.9582
8 Er 0.6458 0.2745 0.7255
9 Er 0.8706 0.9532 0.5329
10 Er 0.0429 0.3808 0.2877
11 Dy 0.1353 0.1992 0.8008
12 Nd 0.0675 0.3893 0.6107
13 Nd 0.9622 0.0623 0.2866
14 Er 0.5429 0.6192 0.7123
15 Nd 0.5675 0.6107 0.3893
16 Er 0.3706 0.5329 0.9532
17 Er 0.8706 0.4671 0.0468
18 Er 0.3706 0.0468 0.4671
19 Dy 0.6353 0.8008 0.1992
20 Er 0.0429 0.7123 0.6192

***

(6)
KCaAgBr4: relaxed, PBE-GGA.

Summary:
Total energy (eV/cell): -45.2
Calculated volume (Å³/f.u.): 237.3
SG: P2_1/m (11)
ΔE_f (raw) (eV/f.u.): -9.97

abc: 7.2823 7.5727 9.0465
angles: 90.00 107.94 90.00
Positions (direct):
1 Br 0.9764 0.4901 0.2869
2 Br 0.5100 0.7500 0.6104
3 Br 0.4761 0.7500 0.1507
4 K 0.7807 0.7500 0.9563
5 Ca 0.7885 0.7500 0.4466
6 Br 0.0236 0.9901 0.7131
7 Ag 0.7545 0.2500 0.6710
8 Br 0.9764 0.0099 0.2869
9 Ca 0.2115 0.2500 0.5534
10 Br 0.0236 0.5099 0.7131
11 K 0.2193 0.2500 0.0437
12 Ag 0.2455 0.7500 0.3290
13 Br 0.4900 0.2500 0.3896
14 Br 0.5239 0.2500 0.8493

***

Which of these has the lowest calculated volume? Sc2Co2W